The following is a DFT calculation (PBE) of a relaxed structure of CsNa2MgSn.

abc: 6.148 6.148 5.676
angles: 90.00 90.00 90.00
Atoms (fractional coordinates):
Cs1 0.000 0.000 0.000
Na1 0.000 0.500 0.500
Na2 0.500 0.000 0.500
Mg1 0.500 0.500 0.000
Sn1 0.500 0.500 0.500

Total energy in Ha/atom: -0.06813
Fermi-level density of states in states/eV per atom: 0.395